DFT (SCAN) results for a crystal of SiHgAs2Br relaxed with PBEsol.

Cell lengths 5.0806, 5.0806, 5.3740 Å; angles 90.00, 90.00, 90.00 degrees
Last column: nearest neighbours and their distance in Å.
Element x y z (fractional)
As: 0.0000 0.5000 0.0000  2 Hg 2.54
As: 0.5000 0.0000 0.0000  2 Hg 2.54
Si: 0.5000 0.5000 0.5000  4 Br 3.59, 8 As 3.70
Hg: 0.0000 0.0000 0.0000  4 As 2.54, 2 Br 2.69
Br: 0.0000 0.0000 0.5000  2 Hg 2.69

Output
Total magnetic moment = 1.2 Bohr magnetons per cell
Relative energy among the computed polymorphs = 3.29 eV per formula unit
Density of states at the Fermi level = 3.22 states/eV/cell
Total energy = -26.42 eV/atom

DFT (SCAN) results for a crystal of SnHg6As4Br6 relaxed with PBEsol.

Cell lengths 12.4335, 12.4335, 12.4335 Å; angles 90.00, 90.00, 90.00 degrees
Last column: nearest neighbours and their distance in Å.
Element x y z (fractional)
Sn: 0.7263 0.2737 0.7737  3 Br 2.82
Sn: 0.2737 0.7737 0.7263  3 Br 2.82
Sn: 0.7737 0.7263 0.2737  3 Br 2.82
Sn: 0.2263 0.2263 0.2263  3 Br 2.82
Hg: 0.5253 0.7642 0.5329  2 As 2.54
Hg: 0.2358 0.0329 0.9747  2 As 2.54
Hg: 0.4742 0.5182 0.2618  2 As 2.54
Hg: 0.9671 0.4747 0.2642  2 As 2.54
Hg: 0.0182 0.2382 0.5258  2 As 2.54
Hg: 0.0253 0.7358 0.4671  2 As 2.54
Hg: 0.0258 0.4818 0.7618  2 As 2.54
Hg: 0.5329 0.5253 0.7642  2 As 2.54
Hg: 0.7618 0.0258 0.4818  2 As 2.54
Hg: 0.5182 0.2618 0.4742  2 As 2.54
Hg: 0.7382 0.9742 0.9818  2 As 2.54
Hg: 0.4818 0.7618 0.0258  2 As 2.54
Hg: 0.2618 0.4742 0.5182  2 As 2.54
Hg: 0.0329 0.9747 0.2358  2 As 2.54
Hg: 0.2382 0.5258 0.0182  2 As 2.54
Hg: 0.5258 0.0182 0.2382  2 As 2.54
Hg: 0.7642 0.5329 0.5253  2 As 2.54
Hg: 0.4671 0.0253 0.7358  2 As 2.54
Hg: 0.9742 0.9818 0.7382  2 As 2.54
Hg: 0.9747 0.2358 0.0329  2 As 2.54
Hg: 0.7358 0.4671 0.0253  2 As 2.54
Hg: 0.4747 0.2642 0.9671  2 As 2.54
Hg: 0.9818 0.7382 0.9742  2 As 2.54
Hg: 0.2642 0.9671 0.4747  2 As 2.54
As: 0.0673 0.9327 0.4327  1 As 2.41, 3 Hg 2.54
As: 0.9311 0.9311 0.9311  1 As 2.42, 3 Hg 2.54
As: 0.5673 0.5673 0.5673  1 As 2.41, 3 Hg 2.54
As: 0.4563 0.9563 0.5437  1 As 2.42, 3 Hg 2.54
As: 0.4551 0.4551 0.4551  1 As 2.41, 3 Hg 2.54
As: 0.9327 0.4327 0.0673  1 As 2.41, 3 Hg 2.54
As: 0.9551 0.0449 0.5449  1 As 2.41, 3 Hg 2.54
As: 0.0437 0.0437 0.0437  1 As 2.42, 3 Hg 2.54
As: 0.5689 0.0689 0.4311  1 As 2.42, 3 Hg 2.54
As: 0.4311 0.5689 0.0689  1 As 2.42, 3 Hg 2.54
As: 0.0689 0.4311 0.5689  1 As 2.42, 3 Hg 2.54
As: 0.0449 0.5449 0.9551  1 As 2.41, 3 Hg 2.54
As: 0.5449 0.9551 0.0449  1 As 2.41, 3 Hg 2.54
As: 0.9563 0.5437 0.4563  1 As 2.42, 3 Hg 2.54
As: 0.5437 0.4563 0.9563  1 As 2.42, 3 Hg 2.54
As: 0.4327 0.0673 0.9327  1 As 2.41, 3 Hg 2.54
Br: 0.7082 0.0504 0.7388  1 Sn 2.82, 1 Hg 3.01
Br: 0.7918 0.9496 0.2388  1 Sn 2.82, 1 Hg 3.01
Br: 0.4496 0.2612 0.2082  1 Sn 2.82, 1 Hg 3.01
Br: 0.5504 0.7612 0.2918  1 Sn 2.82, 1 Hg 3.01
Br: 0.2958 0.9785 0.2313  2 Hg 2.90-3.05, 1 Sn 3.20
Br: 0.2082 0.4496 0.2612  1 Sn 2.82, 1 Hg 3.01
Br: 0.0215 0.7313 0.2042  2 Hg 2.90-3.05, 1 Sn 3.20
Br: 0.4785 0.2687 0.7042  2 Hg 2.90-3.05, 1 Sn 3.20
Br: 0.9785 0.2313 0.2958  2 Hg 2.90-3.05, 1 Sn 3.20
Br: 0.2388 0.7918 0.9496  1 Sn 2.82, 1 Hg 3.01
Br: 0.0504 0.7388 0.7082  1 Sn 2.82, 1 Hg 3.01
Br: 0.2687 0.7042 0.4785  2 Hg 2.90-3.05, 1 Sn 3.20
Br: 0.2612 0.2082 0.4496  1 Sn 2.82, 1 Hg 3.01
Br: 0.7612 0.2918 0.5504  1 Sn 2.82, 1 Hg 3.01
Br: 0.7687 0.7958 0.5215  2 Hg 2.90-3.05, 1 Sn 3.20
Br: 0.5215 0.7687 0.7958  2 Hg 2.90-3.05, 1 Sn 3.20
Br: 0.7313 0.2042 0.0215  2 Hg 2.90-3.05, 1 Sn 3.20
Br: 0.7958 0.5215 0.7687  2 Hg 2.90-3.05, 1 Sn 3.20
Br: 0.9496 0.2388 0.7918  1 Sn 2.82, 1 Hg 3.01
Br: 0.2918 0.5504 0.7612  1 Sn 2.82, 1 Hg 3.01
Br: 0.7388 0.7082 0.0504  1 Sn 2.82, 1 Hg 3.01
Br: 0.2313 0.2958 0.9785  2 Hg 2.90-3.05, 1 Sn 3.20
Br: 0.2042 0.0215 0.7313  2 Hg 2.90-3.05, 1 Sn 3.20
Br: 0.7042 0.4785 0.2687  2 Hg 2.90-3.05, 1 Sn 3.20

Output
Total magnetic moment = 0.0 Bohr magnetons per cell
Density of states at the Fermi level = 0.00 states/eV/cell
Total energy = -38.18 eV/atom

DFT (SCAN) results for a crystal of TaHgAsBr2 relaxed with PBEsol.

Cell lengths 5.2064, 5.1759, 5.1759 Å; angles 90.00, 90.00, 90.00 degrees
Last column: nearest neighbours and their distance in Å.
Element x y z (fractional)
As: 0.5000 0.0000 0.0000  2 Hg 2.60
Hg: 0.0000 0.0000 0.0000  4 Br 2.59, 2 As 2.60
Br: 0.0000 0.0000 0.5000  2 Hg 2.59
Br: 0.0000 0.5000 0.0000  2 Hg 2.59
Ta: 0.5000 0.5000 0.5000  4 As 3.66, 8 Br 3.67

Output
Total magnetic moment = 2.3 Bohr magnetons per cell
Density of states at the Fermi level = 3.44 states/eV/cell
Total energy = -37.44 eV/atom

DFT (SCAN) results for a crystal of TcHgAs2Br relaxed with PBEsol.

Cell lengths 4.6954, 4.6954, 5.3718 Å; angles 90.00, 90.00, 90.00 degrees
Last column: nearest neighbours and their distance in Å.
Element x y z (fractional)
As: 0.0000 0.5000 0.0000  2 Tc 2.35
As: 0.5000 0.0000 0.0000  2 Tc 2.35
Hg: 0.5000 0.5000 0.5000  4 Br 3.32, 8 As 3.57
Br: 0.0000 0.0000 0.5000  2 Tc 2.69
Tc: 0.0000 0.0000 0.0000  4 As 2.35

Output
Total magnetic moment = 0.0 Bohr magnetons per cell
Density of states at the Fermi level = 3.45 states/eV/cell
Total energy = -32.32 eV/atom

DFT (SCAN) results for a crystal of TiHg6As4Br7 relaxed with PBEsol.

Cell lengths 12.3509, 12.3509, 12.3509 Å; angles 90.00, 90.00, 90.00 degrees
Last column: nearest neighbours and their distance in Å.
Element x y z (fractional)
Ti: 0.0000 0.5000 0.0000  6 Br 2.54
Ti: 0.5000 0.5000 0.5000  6 Br 2.54
Ti: 0.0000 0.0000 0.5000  6 Br 2.54
Ti: 0.5000 0.0000 0.0000  6 Br 2.54
Hg: 0.0455 0.6877 0.3023  2 As 2.54-2.55
Hg: 0.1877 0.3023 0.4545  2 As 2.54-2.55
Hg: 0.3123 0.6977 0.9545  2 As 2.54-2.55
Hg: 0.8023 0.0455 0.8123  2 As 2.54-2.55
Hg: 0.5455 0.6877 0.1977  2 As 2.54-2.55
Hg: 0.4545 0.3123 0.8023  2 As 2.54-2.55
Hg: 0.9545 0.1877 0.1977  2 As 2.54-2.55
Hg: 0.1977 0.5455 0.6877  2 As 2.54-2.55
Hg: 0.9545 0.3123 0.6977  2 As 2.54-2.55
Hg: 0.0455 0.8123 0.8023  2 As 2.54-2.55
Hg: 0.8123 0.8023 0.0455  2 As 2.54-2.55
Hg: 0.1977 0.9545 0.1877  2 As 2.54-2.55
Hg: 0.6877 0.3023 0.0455  2 As 2.54-2.55
Hg: 0.3023 0.0455 0.6877  2 As 2.54-2.55
Hg: 0.8023 0.4545 0.3123  2 As 2.54-2.55
Hg: 0.3023 0.4545 0.1877  2 As 2.54-2.55
Hg: 0.5455 0.8123 0.6977  2 As 2.54-2.55
Hg: 0.4545 0.1877 0.3023  2 As 2.54-2.55
Hg: 0.1877 0.1977 0.9545  2 As 2.54-2.55
Hg: 0.8123 0.6977 0.5455  2 As 2.54-2.55
Hg: 0.6977 0.9545 0.3123  2 As 2.54-2.55
Hg: 0.6977 0.5455 0.8123  2 As 2.54-2.55
Hg: 0.6877 0.1977 0.5455  2 As 2.54-2.55
Hg: 0.3123 0.8023 0.4545  2 As 2.54-2.55
As: 0.1523 0.1523 0.1523  1 As 2.47, 3 Hg 2.54
As: 0.3477 0.6523 0.1523  1 As 2.47, 3 Hg 2.54
As: 0.2322 0.7678 0.2678  1 As 2.47, 3 Hg 2.55
As: 0.7322 0.7322 0.7322  1 As 2.47, 3 Hg 2.55
As: 0.8477 0.6523 0.3477  1 As 2.47, 3 Hg 2.54
As: 0.1523 0.3477 0.6523  1 As 2.47, 3 Hg 2.54
As: 0.3477 0.8477 0.6523  1 As 2.47, 3 Hg 2.54
As: 0.6523 0.3477 0.8477  1 As 2.47, 3 Hg 2.54
As: 0.2678 0.2322 0.7678  1 As 2.47, 3 Hg 2.55
As: 0.7678 0.2322 0.7322  1 As 2.47, 3 Hg 2.55
As: 0.7678 0.2678 0.2322  1 As 2.47, 3 Hg 2.55
As: 0.2678 0.2678 0.2678  1 As 2.47, 3 Hg 2.55
As: 0.7322 0.7678 0.2322  1 As 2.47, 3 Hg 2.55
As: 0.8477 0.8477 0.8477  1 As 2.47, 3 Hg 2.54
As: 0.6523 0.1523 0.3477  1 As 2.47, 3 Hg 2.54
As: 0.2322 0.7322 0.7678  1 As 2.47, 3 Hg 2.55
Br: 0.5401 0.0479 0.8043  1 Ti 2.54
Br: 0.3043 0.5401 0.4521  1 Ti 2.54
Br: 0.3043 0.9599 0.9521  1 Ti 2.54
Br: 0.4521 0.1957 0.0401  1 Ti 2.54
Br: 0.9521 0.3043 0.9599  1 Ti 2.54
Br: 0.0479 0.6957 0.0401  1 Ti 2.54
Br: 0.0479 0.8043 0.5401  1 Ti 2.54
Br: 0.0000 0.0000 0.0000  2 As 3.26, 6 Hg 3.41
Br: 0.5479 0.8043 0.9599  1 Ti 2.54
Br: 0.0401 0.0479 0.6957  1 Ti 2.54
Br: 0.4599 0.9521 0.1957  1 Ti 2.54
Br: 0.5401 0.4521 0.3043  1 Ti 2.54
Br: 0.0401 0.4521 0.1957  1 Ti 2.54
Br: 0.5000 0.5000 0.0000  2 As 3.26, 6 Hg 3.41
Br: 0.9599 0.5479 0.8043  1 Ti 2.54
Br: 0.5479 0.6957 0.4599  1 Ti 2.54
Br: 0.8043 0.9599 0.5479  1 Ti 2.54
Br: 0.5000 0.0000 0.5000  2 As 3.26, 6 Hg 3.41
Br: 0.1957 0.0401 0.4521  1 Ti 2.54
Br: 0.9521 0.1957 0.4599  1 Ti 2.54
Br: 0.9599 0.9521 0.3043  1 Ti 2.54
Br: 0.4599 0.5479 0.6957  1 Ti 2.54
Br: 0.1957 0.4599 0.9521  1 Ti 2.54
Br: 0.4521 0.3043 0.5401  1 Ti 2.54
Br: 0.0000 0.5000 0.5000  2 As 3.26, 6 Hg 3.41
Br: 0.8043 0.5401 0.0479  1 Ti 2.54
Br: 0.6957 0.4599 0.5479  1 Ti 2.54
Br: 0.6957 0.0401 0.0479  1 Ti 2.54

Output
Total magnetic moment = 3.8 Bohr magnetons per cell
Density of states at the Fermi level = 15.94 states/eV/cell
Total energy = -36.21 eV/atom

DFT (SCAN) results for a crystal of YHgAsBr2 relaxed with PBEsol.

Cell lengths 5.2161, 5.2161, 5.3233 Å; angles 90.00, 90.00, 90.00 degrees
Last column: nearest neighbours and their distance in Å.
Element x y z (fractional)
Y: 0.5000 0.5000 0.5000  4 As 3.69, 8 Br 3.73
As: 0.0000 0.0000 0.5000  2 Hg 2.66
Hg: 0.0000 0.0000 0.0000  4 Br 2.61, 2 As 2.66
Br: 0.0000 0.5000 0.0000  2 Hg 2.61
Br: 0.5000 0.0000 0.0000  2 Hg 2.61

Output
Total magnetic moment = 0.0 Bohr magnetons per cell
Density of states at the Fermi level = 1.04 states/eV/cell
Total energy = -31.10 eV/atom

DFT (SCAN) results for a crystal of ZnHgAs2Br relaxed with PBEsol.

Cell lengths 5.1446, 5.1446, 5.5309 Å; angles 90.00, 90.00, 90.00 degrees
Last column: nearest neighbours and their distance in Å.
Element x y z (fractional)
Zn: 0.5000 0.5000 0.5000  4 Br 3.64, 8 As 3.78
As: 0.0000 0.5000 0.0000  2 Hg 2.57
As: 0.5000 0.0000 0.0000  2 Hg 2.57
Hg: 0.0000 0.0000 0.0000  4 As 2.57, 2 Br 2.77
Br: 0.0000 0.0000 0.5000  2 Hg 2.77

Output
Total magnetic moment = 2.0 Bohr magnetons per cell
Density of states at the Fermi level = 3.36 states/eV/cell
Total energy = -27.41 eV/atom

DFT (SCAN) results for a crystal of AsIBr2 relaxed with PBEsol.

Cell lengths 9.3053, 7.1682, 9.3053 Å; angles 49.53, 90.00, 130.47 degrees
Last column: nearest neighbours and their distance in Å.
Element x y z (fractional)
I: 0.7500 0.5000 0.7500  2 As 2.84
I: 0.0000 0.0000 0.0000  2 As 2.84
As: 0.2500 0.5000 0.2500  4 Br 2.71, 2 I 2.84
As: 0.5000 0.0000 0.5000  4 Br 2.71, 2 I 2.84
Br: 0.2455 0.7500 0.8750  2 As 2.71
Br: 0.5045 0.7500 0.3750  2 As 2.71
Br: 0.3750 0.2500 0.2455  2 As 2.71
Br: 0.8750 0.2500 0.5045  2 As 2.71

Output
Total magnetic moment = 0.0 Bohr magnetons per cell
Density of states at the Fermi level = 2.24 states/eV/cell
Total energy = -23.99 eV/atom

DFT (SCAN) results for a crystal of AsI2BrN relaxed with PBEsol.

Cell lengths 3.5348, 6.0848, 6.0848 Å; angles 90.00, 90.00, 90.00 degrees
Last column: nearest neighbours and their distance in Å.
Element x y z (fractional)
I: 0.0000 0.0000 0.5000  2 As 3.04
I: 0.0000 0.5000 0.0000  2 As 3.04
As: 0.0000 0.0000 0.0000  2 N 1.77
Br: 0.5000 0.5000 0.5000  8 I 3.52, 2 Br 3.53
N: 0.5000 0.0000 0.0000  2 As 1.77

Output
Total magnetic moment = 0.0 Bohr magnetons per cell
Density of states at the Fermi level = 3.68 states/eV/cell
Total energy = -23.72 eV/atom

DFT (SCAN) results for a crystal of NiAsIBr2 relaxed with PBEsol.

Cell lengths 5.0854, 5.0854, 5.7782 Å; angles 90.00, 90.00, 90.00 degrees
Last column: nearest neighbours and their distance in Å.
Element x y z (fractional)
I: 0.0000 0.0000 0.5000  2 As 2.89
Ni: 0.5000 0.5000 0.5000  4 I 3.60, 8 Br 3.85
As: 0.0000 0.0000 0.0000  4 Br 2.54
Br: 0.0000 0.5000 0.0000  2 As 2.54
Br: 0.5000 0.0000 0.0000  2 As 2.54

Output
Total magnetic moment = 2.0 Bohr magnetons per cell
Density of states at the Fermi level = 5.72 states/eV/cell
Total energy = -21.90 eV/atom

DFT (SCAN) results for a crystal of AsOs2IBr relaxed with PBEsol.

Cell lengths 4.6289, 4.6289, 5.2383 Å; angles 90.00, 90.00, 90.00 degrees
Last column: nearest neighbours and their distance in Å.
Element x y z (fractional)
I: 0.5000 0.5000 0.5000  4 Br 3.27, 8 Os 3.50
As: 0.0000 0.0000 0.0000  4 Os 2.31
Os: 0.0000 0.5000 0.0000  2 As 2.31
Os: 0.5000 0.0000 0.0000  2 As 2.31
Br: 0.0000 0.0000 0.5000  2 As 2.62

Output
Total magnetic moment = 3.1 Bohr magnetons per cell
Density of states at the Fermi level = 3.26 states/eV/cell
Total energy = -42.33 eV/atom

DFT (SCAN) results for a crystal of As2PdIBr relaxed with PBEsol.

Cell lengths 4.9192, 4.9192, 4.9867 Å; angles 90.00, 90.00, 90.00 degrees
Last column: nearest neighbours and their distance in Å.
Element x y z (fractional)
I: 0.5000 0.5000 0.5000  4 Br 3.48, 8 As 3.50
As: 0.0000 0.5000 0.0000  2 Pd 2.46
As: 0.5000 0.0000 0.0000  2 Pd 2.46
Br: 0.0000 0.0000 0.5000  2 Pd 2.49
Pd: 0.0000 0.0000 0.0000  4 As 2.46, 2 Br 2.49

Output
Total magnetic moment = 0.8 Bohr magnetons per cell
Density of states at the Fermi level = 2.70 states/eV/cell
Total energy = -25.47 eV/atom